Density functional theory data (GGA-PBE) for a geometry-optimized Tb4Si2Ge structure. Values from VASP.

Computed properties:
As for the density of states at the Fermi level: 5.6 states/eV/f.u. The calculation puts the formation energy (no corrections) at -0.5370 eV/atom. As for the calculated volume: 192.5 Å³ per cell.

Structure (Quantum ESPRESSO input):
```
&SYSTEM
  ibrav = 0, nat = 7, ntyp = 3
/
ATOMIC_SPECIES
Tb 158.93 Tb.upf
Si 28.09 Si.upf
Ge 72.64 Ge.upf
CELL_PARAMETERS angstrom
-1.183 3.801 1.727
-6.993 -1.871 -0.674
4.067 -3.495 5.027
ATOMIC_POSITIONS angstrom
Tb -2.212 -2.504 3.996
Tb 0.456 0.339 5.019
Tb -4.565 -1.903 1.061
Tb -1.898 0.939 2.084
Si -0.020 -1.203 2.635
Si -4.089 -0.361 3.445
Ge 0.000 0.000 0.000
```